Entry w
Here is a geometry-optimized TiSnSe2N structure from the Alexandria database. Energies are from PBE.

Calculated density   5.48 g cm⁻³
Size of the total moment   0.00 μB/f.u.
Crystal system   tetragonal

Cell and atoms, written as CIF:
```
data_TiSnSe2N
_chemical_formula_sum 'Ti1 Sn1 Se2 N1'
_symmetry_space_group_name_H-M 'P 1'
_symmetry_Int_Tables_number 1
_symmetry_space_group_name_Hall 'P 1'
_cell_length_a 5.209
_cell_length_b 5.209
_cell_length_c 3.781
_cell_angle_alpha 90.00
_cell_angle_beta 90.00
_cell_angle_gamma 90.00
loop_
_atom_site_label
_atom_site_fract_x
_atom_site_fract_y
_atom_site_fract_z
N1 0.000 0.000 0.500
Sn1 0.500 0.500 0.500
Se1 0.000 0.500 0.000
Se2 0.500 0.000 0.000
Ti1 0.000 0.000 0.000
```

***

Entry x
Here is a geometry-optimized TiSnSe2N structure from the Alexandria database. Energies are from PBE.

Calculated density   5.01 g cm⁻³
Size of the total moment   2.48 μB/f.u.
Crystal system   tetragonal

Cell and atoms, written as CIF:
```
data_TiSnSe2N
_chemical_formula_sum 'Ti1 Sn1 Se2 N1'
_symmetry_space_group_name_H-M 'P 1'
_symmetry_Int_Tables_number 1
_symmetry_space_group_name_Hall 'P 1'
_cell_length_a 5.344
_cell_length_b 5.344
_cell_length_c 3.933
_cell_angle_alpha 90.00
_cell_angle_beta 90.00
_cell_angle_gamma 90.00
loop_
_atom_site_label
_atom_site_fract_x
_atom_site_fract_y
_atom_site_fract_z
N1 0.000 0.000 0.500
Sn1 0.000 0.000 0.000
Se1 0.000 0.500 0.000
Se2 0.500 0.000 0.000
Ti1 0.500 0.500 0.500
```

***

Most stable structure: entry w

***

Entry w
Here is a geometry-optimized TlSnSeN2 structure from the Alexandria database. Energies are from PBE.

Calculated density   6.27 g cm⁻³
Size of the total moment   2.92 μB/f.u.
Crystal system   tetragonal

Cell and atoms, written as CIF:
```
data_TlSnSeN2
_chemical_formula_sum 'Tl1 Sn1 Se1 N2'
_symmetry_space_group_name_H-M 'P 1'
_symmetry_Int_Tables_number 1
_symmetry_space_group_name_Hall 'P 1'
_cell_length_a 4.429
_cell_length_b 4.429
_cell_length_c 5.803
_cell_angle_alpha 90.00
_cell_angle_beta 90.00
_cell_angle_gamma 90.00
loop_
_atom_site_label
_atom_site_fract_x
_atom_site_fract_y
_atom_site_fract_z
Tl1 0.000 0.000 0.000
Sn1 0.500 0.500 0.500
Se1 0.000 0.000 0.500
N1 0.000 0.500 0.000
N2 0.500 0.000 0.000
```

***

Entry x
Here is a geometry-optimized TlSnSeN2 structure from the Alexandria database. Energies are from PBE.

Calculated density   6.94 g cm⁻³
Size of the total moment   2.37 μB/f.u.
Crystal system   tetragonal

Cell and atoms, written as CIF:
```
data_TlSnSeN2
_chemical_formula_sum 'Tl1 Sn1 Se1 N2'
_symmetry_space_group_name_H-M 'P 1'
_symmetry_Int_Tables_number 1
_symmetry_space_group_name_Hall 'P 1'
_cell_length_a 4.235
_cell_length_b 5.735
_cell_length_c 4.235
_cell_angle_alpha 90.00
_cell_angle_beta 90.00
_cell_angle_gamma 90.00
loop_
_atom_site_label
_atom_site_fract_x
_atom_site_fract_y
_atom_site_fract_z
Tl1 0.500 0.500 0.500
Sn1 0.000 0.000 0.000
Se1 0.000 0.500 0.000
N1 0.000 0.000 0.500
N2 0.500 0.000 0.000
```

***

Most stable structure: entry x